## TaCrCl (PBE)

Data for an optimized crystal structure of TaCrCl.

Lattice parameters (Å, degrees): 3.2451 5.0866 12.3847 90.00 90.00 90.00
Space group Fmm2 (No. 42)
Unique sites:
Ta: 0.0000 0.0000 0.0000 [4 per cell]
Cr: 0.0000 0.0000 0.3535 [4 per cell]
Cl: 0.0000 0.0000 0.6776 [4 per cell]

Properties
ΔE_f (raw) = 0.29 eV/atom
V = 17.04 Å³/atom

## MnCd5Br12 (PBE)

Data for an optimized crystal structure of MnCd5Br12.

Lattice parameters (Å, degrees): 6.9800 12.1132 13.8103 90.00 90.03 90.00
Space group C2/m (No. 12)
Unique sites:
Mn: 0.0000 0.0000 0.0000 [2 per cell]
Cd: 0.0000 0.1667 0.5000 [4 per cell]
Cd: 0.0000 0.3333 0.0000 [4 per cell]
Cd: 0.0000 0.5000 0.5000 [2 per cell]
Br: 0.1608 0.1608 0.1112 [8 per cell]
Br: 0.1664 0.0000 0.3853 [4 per cell]
Br: 0.1663 0.3333 0.3851 [8 per cell]
Br: 0.1787 0.5000 0.1111 [4 per cell]

Properties
ΔE_f (raw) = -0.84 eV/atom
V = 32.44 Å³/atom

## CaScMn (PBE)

Data for an optimized crystal structure of CaScMn.

Lattice parameters (Å, degrees): 3.4296 3.4296 12.6578 90.00 90.00 90.00
Space group I4mm (No. 107)
Unique sites:
Ca: 0.0000 0.0000 0.0000 [2 per cell]
Sc: 0.0000 0.0000 0.7198 [2 per cell]
Mn: 0.0000 0.0000 0.3349 [2 per cell]

Properties
E_form = 0.7 eV per formula unit
V = 24.81 Å³/atom

## Ac2HoSi3Au12 (PBE)

Data for an optimized crystal structure of Ac2HoSi3Au12.

Lattice parameters (Å, degrees): 8.8974 8.8974 19.4128 90.00 90.00 120.00
Space group R-3m (No. 166, hexagonal axes)
Unique sites:
Ac: 0.0000 0.0000 0.1023 [6 per cell]
Ho: 0.0000 0.0000 0.5000 [3 per cell]
Si: 0.0000 0.5000 0.0000 [9 per cell]
Au: 0.0219 0.5109 0.8727 [18 per cell]
Au: 0.0306 0.5153 0.3270 [18 per cell]

Properties
ΔE_f (raw) = -0.24 eV/atom
V = 24.65 Å³/atom

## NdFeNi4 (PBE)

Data for an optimized crystal structure of NdFeNi4.

Lattice parameters (Å, degrees): 5.0256 5.0256 3.9426 90.00 90.00 120.00
Space group P-6m2 (No. 187)
Unique sites:
Nd: 0.0000 0.0000 0.0000 [1 per cell]
Fe: 0.3333 0.6667 0.0000 [1 per cell]
Ni: 0.5004 0.0007 0.5000 [3 per cell]
Ni: 0.6667 0.3333 0.0000 [1 per cell]

Properties
E_form = -1.2 eV per formula unit
V = 14.37 Å³/atom

## Tb3Pm2SmAs6 (PBE)

Data for an optimized crystal structure of Tb3Pm2SmAs6.

Lattice parameters (Å, degrees): 18.2360 4.1866 8.3666 90.00 103.24 90.00
Space group C2/m (No. 12)
Unique sites:
Tb: 0.0000 0.0000 0.0000 [2 per cell]
Tb: 0.1667 0.5000 0.3333 [4 per cell]
Pm: 0.1665 0.5000 0.8330 [4 per cell]
Sm: 0.0000 0.0000 0.5000 [2 per cell]
As: 0.0014 0.5000 0.2477 [4 per cell]
As: 0.1653 0.0000 0.0866 [4 per cell]
As: 0.1676 0.0000 0.5795 [4 per cell]

Properties
E_form = -18.4 eV per formula unit
V = 25.91 Å³/atom

## Cu2TeSe (PBE)

Data for an optimized crystal structure of Cu2TeSe.

Lattice parameters (Å, degrees): 3.9863 3.9893 7.0429 73.80 73.60 60.22
Space group P1 (No. 1)
Unique sites:
Cu: 0.0000 0.0000 0.0000 [1 per cell]
Cu: 0.4809 0.4884 0.5485 [1 per cell]
Te: 0.8695 0.8748 0.3870 [1 per cell]
Se: 0.3666 0.3666 0.9021 [1 per cell]

Properties
ΔE_f (raw) = -0.08 eV/atom
V = 22.99 Å³/atom

## ZnTc3N (PBE)

Data for an optimized crystal structure of ZnTc3N.

Lattice parameters (Å, degrees): 5.0780 5.1098 5.1950 91.66 97.90 98.96
Space group P1 (No. 1)
Unique sites:
Zn: 0.0000 0.0000 0.0000 [1 per cell]
Zn: 0.4876 0.2059 0.8024 [1 per cell]
Tc: 0.2569 0.7682 0.4735 [1 per cell]
Tc: 0.4376 0.2689 0.2976 [1 per cell]
Tc: 0.4834 0.7232 0.0341 [1 per cell]
Tc: 0.7542 0.6586 0.5830 [1 per cell]
Tc: 0.9416 0.4947 0.0648 [1 per cell]
Tc: 0.9776 0.2216 0.5025 [1 per cell]
N: 0.1085 0.5355 0.7432 [1 per cell]
N: 0.6142 0.9434 0.3606 [1 per cell]

Properties
ΔE_f (raw) = 0.07 eV/atom
V = 13.17 Å³/atom

## LaSm2PuN4 (PBE)

Data for an optimized crystal structure of LaSm2PuN4.

Lattice parameters (Å, degrees): 6.2132 3.6000 6.2327 90.00 109.33 90.00
Space group P2/m (No. 10)
Unique sites:
La: 0.0000 0.0000 0.0000 [1 per cell]
Sm: 0.5000 0.0000 0.5000 [1 per cell]
Sm: 0.5000 0.5000 0.0000 [1 per cell]
Pu: 0.0000 0.5000 0.5000 [1 per cell]
N: 0.2402 0.0000 0.7333 [2 per cell]
N: 0.2478 0.5000 0.2649 [2 per cell]

Properties
ΔE_f (raw) = -1.35 eV/atom
V = 16.44 Å³/atom

## CdBi (PBE)

Data for an optimized crystal structure of CdBi.

Lattice parameters (Å, degrees): 7.4603 7.4603 5.4277 90.00 90.00 90.00
Space group P4_2/mnm (No. 136)
Unique sites:
Cd: 0.2448 0.2448 0.0000 [4 per cell]
Bi: 0.1521 0.8479 0.0000 [4 per cell]

Properties
E_form = 0.4 eV per formula unit
V = 37.76 Å³/atom

## CaPmHo2Te4 (PBE)

Data for an optimized crystal structure of CaPmHo2Te4.

Lattice parameters (Å, degrees): 7.6238 4.3752 7.6684 90.00 109.01 90.00
Space group P2/m (No. 10)
Unique sites:
Ca: 0.0000 0.0000 0.0000 [1 per cell]
Pm: 0.0000 0.5000 0.5000 [1 per cell]
Ho: 0.5000 0.0000 0.5000 [1 per cell]
Ho: 0.5000 0.5000 0.0000 [1 per cell]
Te: 0.2576 0.5000 0.2503 [2 per cell]
Te: 0.2587 0.0000 0.7558 [2 per cell]

Properties
ΔE_f (raw) = -1.38 eV/atom
V = 30.23 Å³/atom

## Ba3Sn4Ir2 (PBE)

Data for an optimized crystal structure of Ba3Sn4Ir2.

Lattice parameters (Å, degrees): 12.8832 4.7632 9.1761 90.00 102.01 90.00
Space group C2/m (No. 12)
Unique sites:
Ba: 0.0000 0.0000 0.0000 [2 per cell]
Ba: 0.1040 0.5000 0.6918 [4 per cell]
Sn: 0.1245 0.0000 0.3880 [4 per cell]
Sn: 0.2110 0.5000 0.0838 [4 per cell]
Ir: 0.2159 0.5000 0.3761 [4 per cell]

Properties
E_form = -4.6 eV per formula unit
V = 30.60 Å³/atom

## K2AsSO6 (PBE)

Data for an optimized crystal structure of K2AsSO6.

Lattice parameters (Å, degrees): 5.3674 5.3674 9.4048 90.00 90.00 90.00
Space group I4/mmm (No. 139)
Unique sites:
K: 0.0000 0.5000 0.2500 [4 per cell]
As: 0.0000 0.0000 0.0000 [2 per cell]
S: 0.0000 0.0000 0.5000 [2 per cell]
O: 0.0000 0.0000 0.1821 [4 per cell]
O: 0.2171 0.2171 0.5000 [8 per cell]

Properties
ΔE_f (raw) = -0.96 eV/atom
V = 13.55 Å³/atom

## RuPb2Se (PBE)

Data for an optimized crystal structure of RuPb2Se.

Lattice parameters (Å, degrees): 6.5759 7.8826 3.5034 90.00 96.36 90.00
Space group C2/m (No. 12)
Unique sites:
Ru: 0.0000 0.0000 0.0000 [2 per cell]
Pb: 0.2500 0.2500 0.5000 [4 per cell]
Se: 0.0000 0.5000 0.0000 [2 per cell]

Properties
ΔE_f (raw) = 0.39 eV/atom
V = 22.56 Å³/atom

## Hg3I (PBE)

Data for an optimized crystal structure of Hg3I.

Lattice parameters (Å, degrees): 4.4615 7.0961 9.4213 67.96 89.66 72.13
Space group P-1 (No. 2)
Unique sites:
Hg: 0.1169 0.2666 0.0708 [2 per cell]
Hg: 0.1193 0.2647 0.5251 [2 per cell]
Hg: 0.3643 0.7694 0.6981 [2 per cell]
I: 0.3712 0.7602 0.1870 [2 per cell]

Properties
ΔE_f (raw) = -0.09 eV/atom
V = 32.64 Å³/atom

## ZnCd4Se (PBE)

Data for an optimized crystal structure of ZnCd4Se.

Lattice parameters (Å, degrees): 8.2578 8.2578 8.2578 90.00 90.00 90.00
Space group F-43m (No. 216)
Unique sites:
Zn: 0.0000 0.0000 0.0000 [4 per cell]
Cd: 0.1252 0.1252 0.6252 [16 per cell]
Se: 0.2500 0.2500 0.2500 [4 per cell]

Properties
ΔE_f (raw) = 0.21 eV/atom
V = 23.46 Å³/atom

## Ho5Er2Ga4 (PBE)

Data for an optimized crystal structure of Ho5Er2Ga4.

Lattice parameters (Å, degrees): 22.8947 3.4247 7.8133 90.00 108.88 90.00
Space group C2/m (No. 12)
Unique sites:
Ho: 0.0000 0.0000 0.0000 [2 per cell]
Ho: 0.1270 0.5000 0.3236 [4 per cell]
Ho: 0.1418 0.5000 0.9161 [4 per cell]
Er: 0.2268 0.0000 0.6773 [4 per cell]
Ga: 0.0049 0.5000 0.6777 [4 per cell]
Ga: 0.0845 0.0000 0.5811 [4 per cell]

Properties
E_form = -1.6 eV per formula unit
V = 26.35 Å³/atom

## Si2TcP (PBE)

Data for an optimized crystal structure of Si2TcP.

Lattice parameters (Å, degrees): 3.1115 3.1115 20.5741 90.00 90.00 120.00
Space group R3m (No. 160, hexagonal axes)
Unique sites:
Si: 0.0000 0.0000 0.0000 [3 per cell]
Si: 0.0000 0.0000 0.2468 [3 per cell]
Tc: 0.0000 0.0000 0.4938 [3 per cell]
P: 0.0000 0.0000 0.7476 [3 per cell]

Properties
ΔE_f (raw) = 0.01 eV/atom
V = 14.38 Å³/atom

## GeHPtRh2 (PBE)

Data for an optimized crystal structure of GeHPtRh2.

Lattice parameters (Å, degrees): 3.9704 3.9704 3.9037 90.00 90.00 90.00
Space group P4/mmm (No. 123)
Unique sites:
Ge: 0.0000 0.0000 0.0000 [1 per cell]
H: 0.5000 0.5000 0.5000 [1 per cell]
Pt: 0.5000 0.5000 0.0000 [1 per cell]
Rh: 0.0000 0.5000 0.5000 [2 per cell]

Properties
V = 12.31 Å³/atom
Energy = -29.8 eV/cell

## BaCaDy (PBE)

Data for an optimized crystal structure of BaCaDy.

Lattice parameters (Å, degrees): 5.8074 5.8074 29.7772 90.00 90.00 120.00
Space group R-3m (No. 166, hexagonal axes)
Unique sites:
Ba: 0.0000 0.0000 0.2137 [6 per cell]
Ca: 0.0000 0.0000 0.0569 [6 per cell]
Dy: 0.0000 0.0000 0.3471 [6 per cell]

Properties
E_form = 0.9 eV per formula unit
V = 48.32 Å³/atom